[1]
## KVGaO4 (PBE with a Hubbard U)

Data for KVGaO4 after structural relaxation.

Values from the calculation:
space group: P2_1/m (11)
M_tot: 2.00 Bohr magnetons per cell
raw total energy: -6.27 eV per atom

POSCAR file:
```
KVGaO4
1.0
5.453 0.000 -0.762
0.000 5.560 0.000
-3.104 0.000 7.134
K V Ga O
2 2 2 8
Cartesian
0.237 4.170 6.077
2.113 1.390 0.295
3.012 4.170 2.778
-0.663 1.390 3.594
0.283 4.170 2.291
2.067 1.390 4.080
-1.954 2.652 4.683
4.303 5.432 1.688
4.303 2.908 1.688
-1.954 0.128 4.683
1.809 4.170 1.230
0.541 1.390 5.141
1.389 4.170 3.780
0.960 1.390 2.592
```


[2]
## K2VGaO4 (PBE with a Hubbard U)

Data for K2VGaO4 after structural relaxation.

Values from the calculation:
space group: Fddd (70)
M_tot: 0.00 Bohr magnetons per cell
raw total energy: -5.69 eV per atom

POSCAR file:
```
K2VGaO4
1.0
6.115 0.000 0.000
3.057 6.104 0.000
3.057 0.000 8.969
K V Ga O
4 2 2 8
Cartesian
3.057 0.000 5.597
6.115 0.000 3.372
7.643 3.052 7.856
7.643 3.052 1.112
7.643 3.052 4.484
0.000 0.000 0.000
4.586 3.052 4.484
3.057 0.000 0.000
4.110 5.099 0.969
4.110 1.005 7.999
11.177 5.099 7.999
5.062 1.005 0.969
6.591 4.057 3.515
6.591 2.047 5.454
8.696 4.057 5.454
2.581 2.047 3.515
```


[3]
## KV2GaO6 (PBE with a Hubbard U)

Data for KV2GaO6 after structural relaxation.

Values from the calculation:
space group: C2/c (15)
M_tot: 0.00 Bohr magnetons per cell
raw total energy: -6.63 eV per atom

POSCAR file:
```
KV2GaO6
1.0
6.098 -0.183 -0.190
1.749 7.599 0.200
1.749 -0.082 7.601
K V Ga O
2 4 2 12
Cartesian
3.273 6.733 0.943
6.322 0.601 6.668
4.193 6.070 4.989
2.354 2.665 1.455
5.403 1.264 2.622
7.242 4.669 6.156
3.273 2.020 5.485
6.322 5.314 2.126
4.284 7.494 5.936
2.263 1.772 -0.003
5.312 -0.160 1.675
7.333 5.562 7.614
4.333 6.452 3.372
2.214 4.295 1.133
5.263 0.882 4.239
7.382 3.039 6.478
2.560 5.311 5.305
3.987 2.321 2.202
7.036 2.023 2.306
5.609 5.013 5.409
```


[4]
## KVGa2O6 (PBE with a Hubbard U)

Data for KVGa2O6 after structural relaxation.

Values from the calculation:
space group: C2/c (15)
M_tot: 0.00 Bohr magnetons per cell
raw total energy: -6.32 eV per atom

POSCAR file:
```
KVGa2O6
1.0
-2.018 -0.753 -5.821
5.439 -3.792 -3.300
-5.551 -4.861 0.647
K V Ga O
2 2 4 12
Cartesian
3.793 -4.092 -4.345
-5.922 -5.315 -4.129
-3.873 -4.837 -1.592
1.744 -4.569 -6.882
0.037 -5.594 -3.972
0.459 -3.278 -2.172
-2.166 -3.812 -4.502
-2.588 -6.128 -6.303
0.604 -7.471 -4.000
0.585 -1.335 -2.392
-2.733 -1.936 -4.474
-2.714 -8.072 -6.082
1.389 -5.146 -5.288
2.388 -3.407 -2.035
-3.518 -4.260 -3.187
-4.517 -5.999 -6.440
0.394 -5.345 -2.108
-0.405 -3.577 -3.853
-2.523 -4.061 -6.366
-1.724 -5.829 -4.621
```


[5]
## KGa2WO6 (PBE with a Hubbard U)

Data for KGa2WO6 after structural relaxation.

Values from the calculation:
space group: C2/c (15)
M_tot: 2.00 Bohr magnetons per cell
raw total energy: -6.20 eV per atom

POSCAR file:
```
KGa2WO6
1.0
6.454 -0.071 -0.074
1.985 7.102 -1.211
1.985 -1.473 7.053
K Ga W O
2 4 2 12
Cartesian
3.598 6.207 -0.384
6.825 -0.649 6.152
4.654 4.111 3.060
2.543 2.689 1.584
5.770 1.447 2.709
7.881 2.869 4.185
3.598 0.272 5.336
6.825 5.287 0.432
4.762 5.659 4.223
2.435 1.584 -0.006
5.662 -0.101 1.546
7.988 3.974 5.775
5.337 5.180 1.562
1.860 4.225 0.570
5.087 0.378 4.206
8.564 1.333 5.198
2.742 3.877 3.227
4.455 2.513 1.811
7.682 1.681 2.542
5.969 3.045 3.957
```


Question: Which value of raw total energy does entry 5 give?
Answer: -6.20 eV per atom